(1)
This record from Alexandria via LeMat-Bulk describes an optimized crystal structure of Tl3Sb. The functional is PBEsol.

Calculated values
Total magnetization = 0.000 μB/atom
Electronic total energy = -3.063 eV/atom
Space group = No. 187
Theoretical density = 10.86 g/cm³

Cell: 3.363 3.363 11.471 Å, 90.00 90.00 120.00°
Atoms (fractional coordinates):
Tl  0.000  0.000  0.000
Tl  0.333  0.667  0.258
Tl  0.333  0.667  0.742
Sb  0.000  0.000  0.500


(2)
This record from Alexandria via LeMat-Bulk describes an optimized crystal structure of Tl3Sb. The functional is PBEsol.

Calculated values
Total magnetization = 0.000 μB/atom
Electronic total energy = -3.086 eV/atom
Space group = No. 71
Theoretical density = 10.78 g/cm³

Cell: 6.587 6.587 6.587 Å, 148.80 129.54 60.53°
Atoms (fractional coordinates):
Tl  0.000  0.000  0.000
Tl  0.261  0.761  0.500
Tl  0.739  0.239  0.500
Sb  0.500  0.500  0.000


(3)
This record from Alexandria via LeMat-Bulk describes an optimized crystal structure of TlSb. The functional is PBEsol.

Calculated values
Total magnetization = 0.000 μB/atom
Electronic total energy = -3.550 eV/atom
Space group = No. 59
Theoretical density = 9.12 g/cm³

Cell: 4.284 4.490 6.173 Å, 90.00 90.00 90.00°
Atoms (fractional coordinates):
Tl  0.250  0.250  0.093
Tl  0.750  0.750  0.907
Sb  0.250  0.750  0.494
Sb  0.750  0.250  0.506


(4)
This record from Alexandria via LeMat-Bulk describes an optimized crystal structure of Tl3Sb. The functional is PBEsol.

Calculated values
Total magnetization = 0.000 μB/atom
Electronic total energy = -3.070 eV/atom
Space group = No. 166
Theoretical density = 10.90 g/cm³

Cell: 6.374 6.374 6.374 Å, 117.12 117.12 117.12°
Atoms (fractional coordinates):
Tl  0.000  0.500  0.500
Tl  0.500  0.000  0.500
Tl  0.500  0.500  0.000
Sb  0.000  0.000  0.000


(5)
This record from Alexandria via LeMat-Bulk describes an optimized crystal structure of Tl3Sb. The functional is PBEsol.

Calculated values
Total magnetization = 0.000 μB/atom
Electronic total energy = -3.090 eV/atom
Space group = No. 123
Theoretical density = 10.73 g/cm³

Cell: 3.953 3.953 7.276 Å, 90.00 90.00 90.00°
Atoms (fractional coordinates):
Tl  0.000  0.000  0.000
Tl  0.500  0.500  0.267
Tl  0.500  0.500  0.733
Sb  0.000  0.000  0.500


(6)
This record from Alexandria via LeMat-Bulk describes an optimized crystal structure of Tl3Sb. The functional is PBEsol.

Calculated values
Total magnetization = 0.000 μB/atom
Electronic total energy = -3.104 eV/atom
Space group = No. 47
Theoretical density = 10.77 g/cm³

Cell: 3.567 4.287 7.413 Å, 90.00 90.00 90.00°
Atoms (fractional coordinates):
Tl  0.000  0.000  0.000
Tl  0.500  0.500  0.263
Tl  0.500  0.500  0.737
Sb  0.000  0.000  0.500


(7)
This record from Alexandria via LeMat-Bulk describes an optimized crystal structure of Tl3Sb. The functional is PBEsol.

Calculated values
Total magnetization = 0.000 μB/atom
Electronic total energy = -3.097 eV/atom
Space group = No. 12
Theoretical density = 10.78 g/cm³

Cell: 5.720 5.720 6.342 Å, 95.97 95.97 33.28°
Atoms (fractional coordinates):
Tl  0.000  0.000  0.000
Tl  0.247  0.247  0.748
Tl  0.753  0.753  0.252
Sb  0.500  0.500  0.500


(8)
This record from Alexandria via LeMat-Bulk describes an optimized crystal structure of TlSb. The functional is PBEsol.

Calculated values
Total magnetization = 0.000 μB/atom
Electronic total energy = -3.498 eV/atom
Space group = No. 129
Theoretical density = 9.78 g/cm³

Cell: 3.309 3.309 10.117 Å, 90.00 90.00 90.00°
Atoms (fractional coordinates):
Tl  0.250  0.250  0.136
Tl  0.750  0.750  0.864
Sb  0.250  0.250  0.622
Sb  0.750  0.750  0.378


(9)
This record from Alexandria via LeMat-Bulk describes an optimized crystal structure of TlSb. The functional is PBEsol.

Calculated values
Total magnetization = 0.000 μB/atom
Electronic total energy = -3.538 eV/atom
Space group = No. 63
Theoretical density = 8.87 g/cm³

Cell: 6.862 6.862 4.028 Å, 90.00 90.00 139.94°
Atoms (fractional coordinates):
Tl  0.161  0.839  0.750
Tl  0.839  0.161  0.250
Sb  0.418  0.582  0.750
Sb  0.582  0.418  0.250


(10)
This record from Alexandria via LeMat-Bulk describes an optimized crystal structure of Tl3Sb. The functional is PBEsol.

Calculated values
Total magnetization = 0.000 μB/atom
Electronic total energy = -3.090 eV/atom
Space group = No. 65
Theoretical density = 10.84 g/cm³

Cell: 6.224 6.224 3.226 Å, 90.00 90.00 115.75°
Atoms (fractional coordinates):
Tl  0.000  0.000  0.000
Tl  0.000  0.500  0.500
Tl  0.500  0.000  0.500
Sb  0.500  0.500  0.000


(11)
This record from Alexandria via LeMat-Bulk describes an optimized crystal structure of Tl5Sb4. The functional is PBEsol.

Calculated values
Total magnetization = 0.000 μB/atom
Electronic total energy = -3.431 eV/atom
Space group = No. 193
Theoretical density = 9.92 g/cm³

Cell: 9.353 9.353 6.667 Å, 90.00 90.00 120.00°
Atoms (fractional coordinates):
Tl  0.000  0.362  0.250
Tl  0.000  0.638  0.750
Tl  0.333  0.667  0.000
Tl  0.333  0.667  0.500
Tl  0.362  0.000  0.250
Tl  0.362  0.362  0.750
Tl  0.638  0.000  0.750
Tl  0.638  0.638  0.250
Tl  0.667  0.333  0.000
Tl  0.667  0.333  0.500
Sb  0.000  0.000  0.000
Sb  0.000  0.000  0.500
Sb  0.000  0.292  0.750
Sb  0.000  0.708  0.250
Sb  0.292  0.000  0.750
Sb  0.292  0.292  0.250
Sb  0.708  0.000  0.250
Sb  0.708  0.708  0.750


(12)
This record from Alexandria via LeMat-Bulk describes an optimized crystal structure of TlSb. The functional is PBEsol.

Calculated values
Total magnetization = 0.000 μB/atom
Electronic total energy = -3.571 eV/atom
Space group = No. 129
Theoretical density = 9.53 g/cm³

Cell: 3.933 3.933 7.344 Å, 90.00 90.00 90.00°
Atoms (fractional coordinates):
Tl  0.250  0.250  0.136
Tl  0.750  0.750  0.864
Sb  0.250  0.250  0.594
Sb  0.750  0.750  0.406